Run A
AlZnTe2, relaxed, DFT PBE; D(E_F) = 1.0 states/eV/cell; V = 33.06 Å³/atom; space-group type = Cmmm; total magnetization = 0.00 μB per formula unit
1.0
1.954 -4.330 0.000
1.954 4.330 0.000
0.000 0.000 7.814
Al Zn Te
1 1 2
direct
0.000 0.000 0.000 Al
0.000 0.000 0.500 Zn
0.500 0.500 0.246 Te
0.500 0.500 0.754 Te

=====

Run B
AlZnTe2, relaxed, DFT PBE; D(E_F) = 1.1 states/eV/cell; V = 25.01 Å³/atom; space-group type = P4mm; total magnetization = 0.00 μB per formula unit
1.0
3.189 0.000 0.000
0.000 3.189 0.000
0.000 0.000 9.840
Al Zn Te
1 1 2
direct
0.000 0.000 0.000 Al
0.500 0.500 0.834 Zn
0.000 0.000 0.598 Te
0.500 0.500 0.217 Te

=====

It comes down to run A, which is 123 meV/atom more stable than the next structure.

=====

Run A
LiNb2Cl, relaxed, DFT PBE; D(E_F) = 3.2 states/eV/cell; V = 15.76 Å³/atom; space-group type = Fm-3m; total magnetization = 0.00 μB per formula unit
1.0
0.000 3.159 3.159
3.159 0.000 3.159
3.159 3.159 0.000
Li Nb Cl
1 2 1
direct
0.000 0.000 0.000 Li
0.250 0.250 0.250 Nb
0.750 0.750 0.750 Nb
0.500 0.500 0.500 Cl

=====

Run B
LiNb2Cl, relaxed, DFT PBE; D(E_F) = 6.4 states/eV/cell; V = 19.29 Å³/atom; space-group type = I-42d; total magnetization = 0.00 μB per formula unit
1.0
-1.860 1.860 11.152
1.860 -1.860 11.152
1.860 1.860 -11.152
Li Nb Cl
2 4 2
direct
0.000 0.000 0.000 Li
0.750 0.250 0.500 Li
0.122 0.625 0.997 Nb
0.375 0.372 0.497 Nb
0.628 0.125 0.003 Nb
0.875 0.878 0.503 Nb
0.250 0.750 0.500 Cl
0.500 0.500 0.000 Cl

=====

It comes down to run B, which is 440 meV/atom more stable than the next structure.

=====

Run A
AlCr2As, relaxed, DFT PBE; D(E_F) = 2.5 states/eV/cell; V = 13.93 Å³/atom; space-group type = Pm; total magnetization = 0.13 μB per formula unit
1.0
2.982 0.000 0.000
0.000 3.927 0.000
-1.139 0.000 4.758
Al Cr As
1 2 1
direct
0.000 0.000 0.000 Al
0.214 0.000 0.544 Cr
0.464 0.500 0.761 Cr
0.725 0.500 0.313 As

=====

Run B
AlCr2As, relaxed, DFT PBE; D(E_F) = 2.9 states/eV/cell; V = 14.27 Å³/atom; space-group type = R3m; total magnetization = 0.00 μB per formula unit
1.0
1.447 0.836 7.863
-1.447 0.836 7.863
0.000 -1.671 7.863
Al Cr As
1 2 1
direct
0.000 0.000 0.000 Al
0.488 0.488 0.488 Cr
0.751 0.751 0.751 Cr
0.233 0.233 0.233 As

=====

It comes down to run B, which is 7 meV/atom more stable than the next structure.

=====

Run A
Hf3TiTl, relaxed, DFT PBE; D(E_F) = 8.3 states/eV/cell; V = 24.45 Å³/atom; space-group type = Pm-3m; total magnetization = 0.00 μB per formula unit
1.0
4.963 0.000 0.000
0.000 4.963 0.000
0.000 0.000 4.963
Hf Ti Tl
3 1 1
direct
0.000 0.000 0.500 Hf
0.000 0.500 0.000 Hf
0.500 0.000 0.000 Hf
0.000 0.000 0.000 Ti
0.500 0.500 0.500 Tl

=====

Run B
Hf3TiTl, relaxed, DFT PBE; D(E_F) = 8.9 states/eV/cell; V = 21.71 Å³/atom; space-group type = C2/m; total magnetization = 0.00 μB per formula unit
1.0
7.442 -1.584 0.000
7.442 1.584 0.000
-3.238 0.000 9.209
Hf Ti Tl
6 2 2
direct
0.051 0.051 0.153 Hf
0.359 0.359 0.532 Hf
0.362 0.362 0.080 Hf
0.638 0.638 0.920 Hf
0.641 0.641 0.468 Hf
0.949 0.949 0.847 Hf
0.037 0.037 0.641 Ti
0.963 0.963 0.359 Ti
0.253 0.253 0.753 Tl
0.747 0.747 0.247 Tl

=====

It comes down to run B, which is 848 meV/atom more stable than the next structure.

=====

Run A
ZrOs5, relaxed, DFT PBE; D(E_F) = 4.1 states/eV/cell; V = 15.64 Å³/atom; space-group type = Cmmm; total magnetization = 0.00 μB per formula unit
1.0
1.968 -6.074 0.000
1.968 6.074 0.000
0.000 0.000 3.926
Zr Os
1 5
direct
0.000 0.000 0.000 Zr
0.178 0.822 0.500 Os
0.321 0.679 0.000 Os
0.500 0.500 0.500 Os
0.679 0.321 0.000 Os
0.822 0.178 0.500 Os

=====

Run B
ZrOs5, relaxed, DFT PBE; D(E_F) = 7.7 states/eV/cell; V = 16.86 Å³/atom; space-group type = P6/mmm; total magnetization = 0.00 μB per formula unit
1.0
5.137 0.000 0.000
-2.568 4.449 0.000
0.000 0.000 4.426
Zr Os
1 5
direct
0.000 0.000 0.000 Zr
0.000 0.500 0.500 Os
0.333 0.667 0.000 Os
0.500 0.000 0.500 Os
0.500 0.500 0.500 Os
0.667 0.333 0.000 Os

=====

It comes down to run A, which is 338 meV/atom more stable than the next structure.

=====

Run A
NdSm2Er8, relaxed, DFT PBE; D(E_F) = 14.3 states/eV/cell; V = 32.10 Å³/atom; space-group type = Immm; total magnetization = 0.00 μB per formula unit
1.0
-2.735 4.031 8.005
2.735 -4.031 8.005
2.735 4.031 -8.005
Nd Sm Er
1 2 8
direct
0.000 0.000 0.000 Nd
0.300 0.300 0.000 Sm
0.700 0.700 0.000 Sm
0.153 0.860 0.292 Er
0.162 0.662 0.500 Er
0.294 0.500 0.794 Er
0.432 0.140 0.292 Er
0.568 0.860 0.708 Er
0.706 0.500 0.206 Er
0.838 0.338 0.500 Er
0.847 0.140 0.708 Er

=====

Run B
NdSm2Er8, relaxed, DFT PBE; D(E_F) = 15.1 states/eV/cell; V = 31.48 Å³/atom; space-group type = C2/m; total magnetization = 0.00 μB per formula unit
1.0
9.034 -2.507 0.000
9.034 2.507 0.000
-2.083 0.000 7.645
Nd Sm Er
1 2 8
direct
0.000 0.000 0.000 Nd
0.272 0.272 0.363 Sm
0.728 0.728 0.637 Sm
0.090 0.090 0.456 Er
0.182 0.182 0.908 Er
0.363 0.363 0.819 Er
0.455 0.455 0.274 Er
0.545 0.545 0.726 Er
0.637 0.637 0.181 Er
0.818 0.818 0.092 Er
0.910 0.910 0.544 Er

=====

It comes down to run B, which is 91 meV/atom more stable than the next structure.